Entry 1:
DFT (GGA-PBE) results for CsS3N2 after structural relaxation.

Cell: 5.6752 5.6750 13.6248 Å, 84.27 84.29 83.98°
Closest atoms and distances in Å follow each position.
Positions (direct):
S1 0.6116 0.8718 0.0219  1 S 1.92
Cs1 0.9556 0.0443 0.7500  4 N 3.12-3.30
S2 0.8718 0.6116 0.5219  1 S 1.92
N1 0.4919 0.1891 0.2951  1 S 1.51
S3 0.5762 0.4238 0.2500  2 N 1.51
S4 0.3884 0.1282 0.9781  1 S 1.92
N2 0.1891 0.4919 0.7951  1 S 1.51
S5 0.4238 0.5762 0.7500  2 N 1.51
N3 0.5081 0.8109 0.7049  1 S 1.51
N4 0.8109 0.5081 0.2049  1 S 1.51
Cs2 0.0444 0.9557 0.2500  4 N 3.12-3.30
S6 0.1282 0.3884 0.4781  1 S 1.92

Output
- Uncorrected formation energy: 400 meV/atom
- Calculated density: 1.97 g cm⁻³

Entry 2:
DFT (GGA-PBE) results for LaCoCu after structural relaxation.

Cell: 5.3457 6.0430 7.4377 Å, 111.00 90.00 90.00°
Closest atoms and distances in Å follow each position.
Positions (direct):
La1 0.9031 0.8021 0.1234  3 Co 2.70-2.99
La2 0.4031 0.1979 0.3766  3 Co 2.70-2.99
La3 0.0969 0.1979 0.8766  3 Co 2.70-2.99
Co1 0.3853 0.8189 0.9569  1 Co 2.39, 3 Cu 2.53-2.57
Cu1 0.0893 0.5854 0.6848  3 Co 2.53-2.57, 1 Cu 2.74
La4 0.5969 0.8021 0.6234  3 Co 2.70-2.99
Cu2 0.9107 0.4146 0.3152  3 Co 2.53-2.57, 1 Cu 2.74
Cu3 0.5893 0.4146 0.8152  3 Co 2.53-2.57, 1 Cu 2.74
Co2 0.6147 0.1811 0.0431  1 Co 2.39, 3 Cu 2.53-2.57
Co3 0.8853 0.1811 0.5431  1 Co 2.39, 3 Cu 2.53-2.57
Cu4 0.4107 0.5854 0.1848  3 Co 2.53-2.57, 1 Cu 2.74
Co4 0.1147 0.8189 0.4569  1 Co 2.39, 3 Cu 2.53-2.57

Output
- Formation energy from the elements: -81 meV per atom
- Calculated density: 7.74 g cm⁻³

Entry 3:
DFT (GGA-PBE) results for AcZrH2 after structural relaxation.

Cell: 3.4891 3.4891 6.5698 Å, 74.60 74.60 60.00°
Closest atoms and distances in Å follow each position.
Positions (direct):
Zr1 0.0000 0.0000 0.0000  6 H 2.17
H1 0.2903 0.2903 0.1290  3 Zr 2.17
Ac1 0.5000 0.5000 0.5000  6 H 3.07
H2 0.7097 0.7097 0.8710  3 Zr 2.17

Output
- Calculated density: 8.07 g cm⁻³

Entry 4:
DFT (GGA-PBE) results for UPaHg after structural relaxation.

Cell: 3.7172 5.2860 7.3994 Å, 98.67 104.55 90.00°
Closest atoms and distances in Å follow each position.
Positions (direct):
Hg1 0.4430 0.2222 0.8859  2 Hg 3.06-3.13, 3 U 3.24-3.32, 6 Pa 3.31-3.43
Pa1 0.1369 0.3106 0.2737  3 U 2.66-2.82
Hg2 0.5570 0.7778 0.1141  2 Hg 3.06-3.13, 3 U 3.24-3.32, 6 Pa 3.31-3.43
U1 0.2439 0.8067 0.4878  3 Pa 2.66-2.82, 2 U 2.75
Pa2 0.8631 0.6894 0.7263  3 U 2.66-2.82
U2 0.7561 0.1933 0.5122  3 Pa 2.66-2.82, 2 U 2.75

Output
- Energy relative to the lowest polymorph listed for this composition: 66 meV per atom
- Formation energy from the elements: 231 meV per atom
- Calculated density: 16.00 g cm⁻³

Entry 5:
DFT (GGA-PBE) results for Hf2ZnCI after structural relaxation.

Cell: 5.1712 3.5788 5.1712 Å, 90.00 90.00 90.00°
Closest atoms and distances in Å follow each position.
Positions (direct):
Zn1 0.0000 0.0000 0.0000  2 C 1.79
Hf1 0.0000 0.0000 0.5000  2 Zn 2.59
I1 0.5000 0.5000 0.5000  8 Hf 3.14
C1 0.0000 0.5000 0.0000  2 Zn 1.79
Hf2 0.5000 0.0000 0.0000  2 Zn 2.59

Output
- Uncorrected formation energy: 1024 meV/atom
- Calculated density: 9.74 g cm⁻³

Entry 6:
DFT (GGA-PBE) results for Tb3Pu after structural relaxation.

Cell: 3.5065 5.7107 6.1773 Å, 90.00 90.00 90.00°
Closest atoms and distances in Å follow each position.
Positions (direct):
Tb1 0.5000 0.5000 0.8298  8 Tb 3.51-3.53, 4 Pu 3.55
Pu1 0.0000 0.5000 0.3298  10 Tb 3.48-3.55, 2 Pu 3.51
Tb2 0.5000 0.0000 0.4998  8 Tb 3.51-3.59, 4 Pu 3.51
Tb3 0.0000 0.0000 0.0073  2 Pu 3.48, 10 Tb 3.51-3.59

Output
- Energy relative to the lowest polymorph listed for this composition: 16 meV per atom
- Formation energy from the elements: 110 meV per atom
- Calculated density: 9.68 g cm⁻³

Entry 7:
DFT (GGA-PBE) results for La4Nd2Sc after structural relaxation.

Cell: 14.4721 6.7533 6.8222 Å, 63.51 121.92 117.24°
Closest atoms and distances in Å follow each position.
Positions (direct):
La1 0.0180 0.6215 0.6919  4 Sc 3.53-3.86, 5 La 3.64-3.87, 3 Nd 3.69-3.72
La2 0.3019 0.0241 0.7023  4 La 3.32-3.71, 2 Sc 3.33-3.50, 2 Nd 3.46-3.63
Sc1 0.0562 0.1654 0.2244  1 Sc 3.40, 7 La 3.46-3.78, 2 Nd 3.53-3.65
Nd1 0.1494 0.1898 0.8279  7 La 3.39-3.76, 4 Sc 3.53-3.65
Nd2 0.5758 0.9499 0.1716  5 La 3.39-3.63, 4 Nd 3.59-3.74
La3 0.7425 0.0605 0.8158  5 Nd 3.48-3.90, 3 La 3.62-3.79, 1 Sc 3.78
La4 0.4316 0.1213 0.3278  4 Nd 3.45-3.76, 5 La 3.50-3.72, 1 Sc 3.63
La5 0.8643 0.1019 0.4200  3 Nd 3.39-3.71, 1 Sc 3.46, 3 La 3.51-3.79
Nd3 0.6060 0.4762 0.7064  5 La 3.43-3.74, 4 Nd 3.59-3.63
Nd4 0.7111 0.5253 0.3022  7 La 3.48-3.88, 4 Nd 3.63-3.74
La6 0.3069 0.5644 0.1725  2 Sc 3.31-3.48, 3 La 3.32-3.67, 2 Nd 3.39-3.56
La7 0.8997 0.6599 0.0266  2 Sc 3.21-3.52, 1 Nd 3.49, 1 La 3.51
La8 0.4223 0.5999 0.7786  3 Nd 3.43-3.73, 1 Sc 3.46, 6 La 3.50-3.72
Sc2 0.1644 0.6899 0.3320  4 La 3.21-3.46, 1 Sc 3.40, 2 Nd 3.58

Output
- Energy relative to the lowest polymorph listed for this composition: 0 meV per atom
- Formation energy from the elements: 63 meV per atom
- Calculated density: 6.09 g cm⁻³

Entry 8:
DFT (GGA-PBE) results for Tb7TmCd2 after structural relaxation.

Cell: 5.2169 9.1069 9.1069 Å, 121.27 90.00 90.00°
Closest atoms and distances in Å follow each position.
Positions (direct):
Tb1 0.0000 0.2209 0.7791  2 Cd 2.92
Tb2 0.0000 0.7791 0.2209  2 Cd 2.92
Tb3 0.5000 0.9334 0.7020  2 Cd 3.11-3.40, 2 Tb 3.26-3.38
Tb4 0.5000 0.2980 0.0666  2 Cd 3.11-3.40, 2 Tb 3.26-3.38
Cd1 0.5000 0.6962 0.3038  5 Tb 2.92-3.11
Cd2 0.5000 0.3038 0.6962  5 Tb 2.92-3.11
Tb5 0.5000 0.7020 0.9334  2 Cd 3.11-3.40, 2 Tb 3.26-3.38
Tb6 0.5000 0.5000 0.5000  2 Cd 3.11, 4 Tb 3.38
Tm1 0.0000 0.0000 0.0000  10 Tb 3.51-3.58
Tb7 0.5000 0.0666 0.2980  2 Cd 3.11-3.40, 2 Tb 3.26-3.38

Output
- Formation energy from the elements: 409 meV per atom
- Calculated density: 6.76 g cm⁻³

What electronic total energy values result from the calculations? In sequence: -4.5808; -5.4577; -5.0037; -6.7980; -5.3672; -6.9458; -5.0197; -3.4627 eV per atom.